Computed, not measured: Mg2AlSb after structural relaxation at the PBE-GGA level of DFT.

```
Mg2AlSb
1.0
-9.154 -1.572 1.643
-7.780 -3.610 3.925
-8.212 -0.358 4.625
Mg Al Sb
2 1 1
Direct
0.005 0.005 0.005
0.495 0.495 0.495
0.750 0.750 0.750
0.250 0.250 0.250
```

Results
Its formation energy from raw total energies is -3.7 kJ/mol of atoms. For the energy relative to the lowest polymorph listed for this composition, the calculation gives 0.13 eV/f.u. As for the volume: 90.0 Å³/cell.